First-principles (PBE+U) data for CrI2OF after structural relaxation, as listed in Alexandria.

Cell lengths 5.6910, 5.6910, 3.5798 Å; angles 90.00, 90.00, 90.00 degrees
Closest atoms and distances in Å follow each position.
Atoms (fractional coordinates):
1 I 0.0000 0.5000 0.0000  2 Cr 2.85
2 I 0.5000 0.0000 0.0000  2 Cr 2.85
3 Cr 0.0000 0.0000 0.0000  2 O 1.79
4 O 0.0000 0.0000 0.5000  2 Cr 1.79
5 F 0.5000 0.5000 0.5000  8 I 3.36, 2 F 3.58

Calculated values
Energy relative to the lowest polymorph listed for this composition (eV per formula unit): 0.00
Symmetry: No. 123